A relaxed Tb2InI crystal, computed with PBE.

Crystal system: trigonal
Excess energy over the best structure of this formula in the dataset in meV/atom: 0
M_tot in μB/cell: 0.0
E_form (uncorrected) in eV/atom: -0.57
V in Å³ per atom: 29.40

Lattice parameters (Å, degrees): 9.617 9.617 9.617 22.84 22.84 22.84
Atoms (fractional coordinates):
Tb: 0.000 0.000 0.000
Tb: 0.169 0.169 0.169
In: 0.584 0.584 0.584
I: 0.752 0.752 0.752